1.
Density functional theory data (GGA-PBE) for Cu4GePt after structural relaxation.

Values from the calculation:
Energy of formation from the pure elements   -0.011 eV/atom

abc: 2.7252 4.2552 7.0328
angles: 90.00 96.82 90.00
Closest atoms and distances in Å follow each position.
Space group P2/m (No. 10)
One atom of each set of equivalent atoms:
Cu1 0.0832 0.0000 0.3314 (multiplicity 2)  5 Cu 2.47-2.73, 2 Pt 2.63, 2 Ge 2.66-2.71
Cu2 0.1908 0.5000 0.8372 (multiplicity 2)  6 Cu 2.51-2.73, 2 Ge 2.51, 1 Pt 2.61
Ge1 0.5000 0.0000 0.0000 (multiplicity 1)  8 Cu 2.51-2.71, 2 Ge 2.73
Pt1 0.5000 0.5000 0.5000 (multiplicity 1)  8 Cu 2.61-2.85, 2 Pt 2.73


2.
Density functional theory data (GGA-PBE) for LaGaTe3 after structural relaxation.

Values from the calculation:
Excess energy over the best structure of this formula in the dataset   0.0 meV per atom
E_form (uncorrected)   -0.89 eV/atom

abc: 14.1426 9.9417 4.7796
angles: 90.00 90.78 90.00
Closest atoms and distances in Å follow each position.
Space group C2/m (No. 12)
One atom of each set of equivalent atoms:
La1 0.2351 0.0000 0.2676 (multiplicity 4)  8 Te 3.31-3.43
Ga1 0.0000 0.3098 0.5000 (multiplicity 4)  4 Te 2.65-2.71
Te1 0.1014 0.5000 0.2318 (multiplicity 4)  2 Ga 2.71
Te2 0.1463 0.2000 0.7653 (multiplicity 8)  1 Ga 2.65


3.
Density functional theory data (GGA-PBE) for TbPr2Ho4Er2 after structural relaxation.

Values from the calculation:
Energy of formation from the pure elements   0.020 eV/atom

abc: 6.1708 6.1722 7.9733
angles: 82.53 75.14 80.46
Closest atoms and distances in Å follow each position.
Space group P-1 (No. 2)
One atom of each set of equivalent atoms:
Tb1 0.0000 0.0000 0.0000 (multiplicity 1)  8 Ho 3.54-3.57, 2 Pr 3.56, 2 Er 3.57
Pr1 0.3322 0.6677 0.6682 (multiplicity 2)  4 Er 3.55-3.58, 6 Ho 3.55-3.59, 1 Tb 3.56, 1 Pr 3.60
Ho1 0.2231 0.4451 0.1114 (multiplicity 2)  5 Ho 3.55-3.57, 3 Pr 3.55-3.56, 2 Er 3.56, 2 Tb 3.56-3.57
Ho2 0.4431 0.8895 0.2202 (multiplicity 2)  4 Ho 3.53-3.57, 2 Tb 3.54-3.57, 3 Er 3.55-3.59, 3 Pr 3.56-3.59
Er1 0.1089 0.2226 0.5556 (multiplicity 2)  2 Er 3.55, 5 Ho 3.55-3.59, 4 Pr 3.55-3.58, 1 Tb 3.57


4.
Density functional theory data (GGA-PBE) for MgTl2Ru after structural relaxation.

Values from the calculation:
Excess energy over the best structure of this formula in the dataset   106.0 meV per atom
Energy of formation from the pure elements   0.330 eV/atom

abc: 3.5010 3.7001 6.2517
angles: 90.00 90.00 90.00
Closest atoms and distances in Å follow each position.
Space group Pmmm (No. 47)
One atom of each set of equivalent atoms:
Mg1 0.0000 0.0000 0.0000 (multiplicity 1)  8 Tl 3.03, 2 Ru 3.13
Tl1 0.5000 0.5000 0.2616 (multiplicity 2)  4 Ru 2.95, 2 Tl 2.98-3.27, 4 Mg 3.03
Ru1 0.0000 0.0000 0.5000 (multiplicity 1)  8 Tl 2.95, 2 Mg 3.13